# Sr2CrGa2O6, optimized geometry, DFT PBE+U
data_Sr2CrGa2O6
_chemical_formula_sum 'Sr6 Cr3 Ga6 O18'
_cell_length_a 5.8337
_cell_length_b 5.8337
_cell_length_c 16.5298
_cell_angle_alpha 90.00
_cell_angle_beta 90.00
_cell_angle_gamma 120.00
_symmetry_space_group_name_H-M 'R -3 m'
_symmetry_Int_Tables_number 166
_symmetry_space_group_name_Hall '-R 3 2"'
loop_
_atom_site_label
_atom_site_fract_x
_atom_site_fract_y
_atom_site_fract_z
Sr1 0.0000 0.0000 0.2060
Cr1 0.0000 0.0000 0.0000
Ga1 0.0000 0.0000 0.4234
O1 0.0257 0.5129 0.7472
# N(E_F): 0.0393 states/eV/atom

VASP calculation (PBE+U) on SrCr2GaO6 after structural relaxation.

The structure in CIF format:
```
data_SrCr2GaO6
_chemical_formula_sum 'Sr1 Cr2 Ga1 O6'
_cell_length_a 5.2604
_cell_length_b 5.2680
_cell_length_c 5.5285
_cell_angle_alpha 90.76
_cell_angle_beta 117.43
_cell_angle_gamma 119.38
_symmetry_space_group_name_H-M 'P 1'
_symmetry_Int_Tables_number 1
loop_
_symmetry_equiv_pos_as_xyz
'x,y,z'
loop_
_atom_site_label
_atom_site_fract_x
_atom_site_fract_y
_atom_site_fract_z
Sr1 0.0000 0.0000 0.0000
Cr1 0.5213 0.2644 0.7754
Cr2 0.5317 0.7746 0.2931
Ga1 0.9396 0.4691 0.3993
O1 0.0315 0.1579 0.5468
O2 0.0365 0.4623 0.0833
O3 0.4027 0.8712 0.5522
O4 0.5060 0.0394 0.0816
O5 0.6183 0.5774 0.0839
O6 0.6824 0.5222 0.5507
```

# TaCrGaO2, optimized geometry, DFT PBE+U
data_TaCrGaO2
_chemical_formula_sum 'Ta1 Cr1 Ga1 O2'
_cell_length_a 3.8605
_cell_length_b 3.8605
_cell_length_c 5.2942
_cell_angle_alpha 90.00
_cell_angle_beta 90.00
_cell_angle_gamma 90.00
_symmetry_space_group_name_H-M 'P 4/m m m'
_symmetry_Int_Tables_number 123
_symmetry_space_group_name_Hall '-P 4 2'
loop_
_atom_site_label
_atom_site_fract_x
_atom_site_fract_y
_atom_site_fract_z
Ta1 0.0000 0.0000 0.0000
Cr1 0.5000 0.5000 0.0000
Ga1 0.0000 0.0000 0.5000
O1 0.0000 0.5000 0.5000
# N(E_F): 1.0152 states/eV/atom

# Tb2CrGaO6, optimized geometry, DFT PBE+U
data_Tb2CrGaO6
_chemical_formula_sum 'Tb2 Cr1 Ga1 O6'
_cell_length_a 5.2674
_cell_length_b 5.2674
_cell_length_c 4.5770
_cell_angle_alpha 90.00
_cell_angle_beta 90.00
_cell_angle_gamma 90.00
_symmetry_space_group_name_H-M 'P 4 m m'
_symmetry_Int_Tables_number 99
loop_
_symmetry_equiv_pos_as_xyz
'x,y,z'
'-y,x,z'
'-x,-y,z'
'y,-x,z'
'-x,y,z'
'y,x,z'
'x,-y,z'
'-y,-x,z'
loop_
_atom_site_label
_atom_site_fract_x
_atom_site_fract_y
_atom_site_fract_z
Tb1 0.0000 0.5000 0.0000
Cr1 0.0000 0.0000 0.5968
Ga1 0.5000 0.5000 0.5699
O1 0.0000 0.0000 0.1684
O2 0.2534 0.2534 0.7038
O3 0.5000 0.5000 0.1674
# N(E_F): 0.0000 states/eV/atom

# TbCr4Ga3O12, optimized geometry, DFT PBE+U
data_TbCr4Ga3O12
_chemical_formula_sum 'Tb2 Cr8 Ga6 O24'
_cell_length_a 7.4769
_cell_length_b 7.4769
_cell_length_c 7.4769
_cell_angle_alpha 90.00
_cell_angle_beta 90.00
_cell_angle_gamma 90.00
_symmetry_space_group_name_H-M 'I m -3'
_symmetry_Int_Tables_number 204
_symmetry_space_group_name_Hall '-I 2 2 3'
loop_
_atom_site_label
_atom_site_fract_x
_atom_site_fract_y
_atom_site_fract_z
Tb1 0.0000 0.0000 0.0000
Cr1 0.2500 0.2500 0.2500
Ga1 0.0000 0.0000 0.5000
O1 0.0000 0.1729 0.3073
# N(E_F): 0.0000 states/eV/atom

# TbCr2GaO6, optimized geometry, DFT PBE+U
data_TbCr2GaO6
_chemical_formula_sum 'Tb3 Cr6 Ga3 O18'
_cell_length_a 5.2793
_cell_length_b 5.2793
_cell_length_c 13.8752
_cell_angle_alpha 90.00
_cell_angle_beta 90.00
_cell_angle_gamma 120.00
_symmetry_space_group_name_H-M 'R 3'
_symmetry_Int_Tables_number 146
_symmetry_space_group_name_Hall 'R 3'
loop_
_atom_site_label
_atom_site_fract_x
_atom_site_fract_y
_atom_site_fract_z
Tb1 0.0000 0.0000 0.0000
Cr1 0.0000 0.0000 0.2195
Cr2 0.0000 0.0000 0.7245
Ga1 0.0000 0.0000 0.5183
O1 0.0264 0.3488 0.7963
O2 0.0785 0.7190 0.2905
# N(E_F): 0.0000 states/eV/atom

# Cr2GaTcO6, optimized geometry, DFT PBE+U
data_Cr2GaTcO6
_chemical_formula_sum 'Cr6 Ga3 Tc3 O18'
_cell_length_a 5.1221
_cell_length_b 5.1221
_cell_length_c 13.9126
_cell_angle_alpha 90.00
_cell_angle_beta 90.00
_cell_angle_gamma 120.00
_symmetry_space_group_name_H-M 'R 3'
_symmetry_Int_Tables_number 146
_symmetry_space_group_name_Hall 'R 3'
loop_
_atom_site_label
_atom_site_fract_x
_atom_site_fract_y
_atom_site_fract_z
Cr1 0.0000 0.0000 0.0000
Cr2 0.0000 0.0000 0.4969
Ga1 0.0000 0.0000 0.2950
Tc1 0.0000 0.0000 0.8033
O1 0.0226 0.3545 0.5688
O2 0.0334 0.6698 0.0660
# N(E_F): 0.3598 states/eV/atom

# CrGa2TeO8, optimized geometry, DFT PBE+U
data_CrGa2TeO8
_chemical_formula_sum 'Cr1 Ga2 Te1 O8'
_cell_length_a 5.7061
_cell_length_b 5.7061
_cell_length_c 5.6066
_cell_angle_alpha 90.00
_cell_angle_beta 90.00
_cell_angle_gamma 120.00
_symmetry_space_group_name_H-M 'P -3 m 1'
_symmetry_Int_Tables_number 164
_symmetry_space_group_name_Hall '-P 3 2"'
loop_
_atom_site_label
_atom_site_fract_x
_atom_site_fract_y
_atom_site_fract_z
Cr1 0.0000 0.0000 0.0000
Ga1 0.3333 0.6667 0.8214
Te1 0.0000 0.0000 0.5000
O1 0.1472 0.2944 0.7357
O2 0.3333 0.6667 0.1380
# N(E_F): 0.5762 states/eV/atom

VASP calculation (PBE+U) on ThCr2GaO8 after structural relaxation.

The structure in CIF format:
```
data_ThCr2GaO8
_chemical_formula_sum 'Th2 Cr4 Ga2 O16'
_cell_length_a 7.1430
_cell_length_b 6.1766
_cell_length_c 6.9488
_cell_angle_alpha 90.00
_cell_angle_beta 94.20
_cell_angle_gamma 90.00
_symmetry_space_group_name_H-M 'C 1 2/m 1'
_symmetry_Int_Tables_number 12
loop_
_symmetry_equiv_pos_as_xyz
'x,y,z'
'-x,-y,-z'
'-x,y,-z'
'x,-y,z'
'x+1/2,y+1/2,z'
'-x+1/2,-y+1/2,-z'
'-x+1/2,y+1/2,-z'
'x+1/2,-y+1/2,z'
loop_
_atom_site_label
_atom_site_fract_x
_atom_site_fract_y
_atom_site_fract_z
Th1 0.0000 0.0000 0.0000
Cr1 0.0543 0.5000 0.6924
Ga1 0.0000 0.0000 0.5000
O1 0.0023 0.2068 0.7137
O2 0.1862 0.5000 0.9247
O3 0.1914 0.5000 0.4982
```

VASP calculation (PBE+U) on TiCr2GaO6 after structural relaxation.

The structure in CIF format:
```
data_TiCr2GaO6
_chemical_formula_sum 'Ti1 Cr2 Ga1 O6'
_cell_length_a 5.0375
_cell_length_b 5.1893
_cell_length_c 5.3770
_cell_angle_alpha 64.35
_cell_angle_beta 89.63
_cell_angle_gamma 61.85
_symmetry_space_group_name_H-M 'P 1'
_symmetry_Int_Tables_number 1
loop_
_symmetry_equiv_pos_as_xyz
'x,y,z'
loop_
_atom_site_label
_atom_site_fract_x
_atom_site_fract_y
_atom_site_fract_z
Ti1 0.0000 0.0000 0.0000
Cr1 0.2128 0.5802 0.6163
Cr2 0.7041 0.5922 0.0913
Ga1 0.4657 0.0478 0.4592
O1 0.1046 0.4867 0.3029
O2 0.3046 0.8088 0.8046
O3 0.4112 0.7963 0.3070
O4 0.6629 0.0365 0.8052
O5 0.7654 0.1271 0.2730
O6 0.9381 0.4231 0.8355
```

# TlCrGaO4, optimized geometry, DFT PBE+U
data_TlCrGaO4
_chemical_formula_sum 'Tl4 Cr4 Ga4 O16'
_cell_length_a 6.4109
_cell_length_b 6.4174
_cell_length_c 8.7536
_cell_angle_alpha 90.00
_cell_angle_beta 90.00
_cell_angle_gamma 90.00
_symmetry_space_group_name_H-M 'I m m a'
_symmetry_Int_Tables_number 74
_symmetry_space_group_name_Hall '-I 2b 2'
loop_
_atom_site_label
_atom_site_fract_x
_atom_site_fract_y
_atom_site_fract_z
Tl1 0.0000 0.0000 0.0000
Cr1 0.2500 0.2500 0.2500
Ga1 0.0000 0.2500 0.6207
O1 0.0000 0.0037 0.2615
O2 0.2383 0.2500 0.4865
# N(E_F): 0.1783 states/eV/atom

VASP calculation (PBE+U) on Tl2CrGaO4 after structural relaxation.

The structure in CIF format:
```
data_Tl2CrGaO4
_chemical_formula_sum 'Tl16 Cr8 Ga8 O32'
_cell_length_a 5.4994
_cell_length_b 11.9283
_cell_length_c 19.7731
_cell_angle_alpha 90.00
_cell_angle_beta 90.00
_cell_angle_gamma 90.00
_symmetry_space_group_name_H-M 'F d d d'
_symmetry_Int_Tables_number 70
loop_
_symmetry_equiv_pos_as_xyz
'x,y,z'
'-x,-y,-z'
'-x+1/4,-y+1/4,z'
'x+1/4,y+1/4,-z'
'x,-y+1/4,-z+1/4'
'-x,y+1/4,z+1/4'
'-x+1/4,y,-z+1/4'
'x+1/4,-y,z+1/4'
'x,y+1/2,z+1/2'
'-x,-y+1/2,-z+1/2'
'-x+1/4,-y+3/4,z+1/2'
'x+1/4,y+3/4,-z+1/2'
'x,-y+3/4,-z+3/4'
'-x,y+3/4,z+3/4'
'-x+1/4,y+1/2,-z+3/4'
'x+1/4,-y+1/2,z+3/4'
'x+1/2,y,z+1/2'
'-x+1/2,-y,-z+1/2'
'-x+3/4,-y+1/4,z+1/2'
'x+3/4,y+1/4,-z+1/2'
'x+1/2,-y+1/4,-z+3/4'
'-x+1/2,y+1/4,z+3/4'
'-x+3/4,y,-z+3/4'
'x+3/4,-y,z+3/4'
'x+1/2,y+1/2,z'
'-x+1/2,-y+1/2,-z'
'-x+3/4,-y+3/4,z'
'x+3/4,y+3/4,-z'
'x+1/2,-y+3/4,-z+1/4'
'-x+1/2,y+3/4,z+1/4'
'-x+3/4,y+1/2,-z+1/4'
'x+3/4,-y+1/2,z+1/4'
loop_
_atom_site_label
_atom_site_fract_x
_atom_site_fract_y
_atom_site_fract_z
Tl1 0.1250 0.1250 0.3113
Cr1 0.1250 0.1250 0.1250
Ga1 0.1250 0.1250 0.6250
O1 0.1205 0.2814 0.8391
```

| no. | raw total energy (eV per formula unit) |
| --- | --- |
| 1 | -68.479 |
| 2 | -68.883 |
| 3 | -29.513 |
| 4 | -75.080 |
| 5 | -143.583 |
| 6 | -75.207 |
| 7 | -74.141 |
| 8 | -68.822 |
| 9 | -88.290 |
| 10 | -77.223 |
| 11 | -41.757 |
| 12 | -44.272 |